A relaxed Mn3O2F4 crystal, computed with PBE with a Hubbard U.

Summary:
ΔE to the lowest computed polymorph = 11 meV/atom
VASP energy = -119.02 eV/cell

Cell: 4.7835 7.9833 5.7532 Å, 92.61 90.00 90.00°
Last column: nearest neighbours and their distance in Å.
Fractional coordinates of all 18 atoms:
O  0.3180  0.8795  0.2155  3 Mn 1.92-2.06
F  0.2727  0.2371  0.5330  3 Mn 2.09-2.26
Mn  0.5144  0.6660  0.1726  2 O 1.94-1.95, 4 F 1.96-2.15
O  0.8180  0.4538  0.6179  3 Mn 1.92-2.06
F  0.7727  0.0963  0.3003  3 Mn 2.09-2.26
Mn  0.0339  0.9903  0.0016  2 O 2.06, 4 F 2.13-2.30
F  0.2892  0.5683  0.8736  3 Mn 1.99-2.15
Mn  0.0144  0.6674  0.6607  2 O 1.94-1.95, 4 F 1.96-2.15
F  0.1755  0.2421  0.0518  3 Mn 2.08-2.30
Mn  0.5339  0.3430  0.8317  2 O 2.06, 4 F 2.13-2.30
F  0.7363  0.7693  0.4597  3 Mn 1.96-2.19
F  0.7892  0.7651  0.9597  3 Mn 1.99-2.15
F  0.2363  0.5641  0.3736  3 Mn 1.96-2.19
Mn  0.9591  0.3463  0.3372  2 O 1.92, 2 F 2.08-2.09
Mn  0.4590  0.9871  0.4962  2 O 1.92, 2 F 2.08-2.09
F  0.6755  0.0912  0.7815  3 Mn 2.08-2.30
O  0.7010  0.4509  0.1326  3 Mn 1.92-2.06
O  0.2010  0.8824  0.7008  3 Mn 1.92-2.06